## RbBaRu3 (PBE)

Data for a relaxed RbBaRu3 crystal.

Formation enthalpy at 0 K ... 2.325 eV per atom
Volume ... 30.0 Å³/atom
Polymorph energy (0 for the lowest one) ... 0.000 eV/atom
N(E_F) ... 6.90 states/eV/cell
Total energy ... -3.82 eV per atom
Space group ... Pm-3m

abc: 5.3145 5.3145 5.3145
angles: 90.00 90.00 90.00
Last column: nearest neighbours and their distance in Å.
Element x y z (fractional)
Ru1 0.0000 0.5000 0.0000  2 Ba 2.66
Ru2 0.0000 0.0000 0.5000  2 Ba 2.66
Ru3 0.5000 0.0000 0.0000  2 Ba 2.66
Ba1 0.0000 0.0000 0.0000  6 Ru 2.66
Rb1 0.5000 0.5000 0.5000  12 Ru 3.76